(1)
Below is AsAu5 at its PBEsol-relaxed geometry, with properties calculated at the SCAN level.

abc: 4.662 5.047 5.047
angles: 120.00 90.00 90.00
Fractional coordinates of all 6 atoms:
As1 0.500 0.000 0.000
Au1 0.000 0.333 0.333
Au2 0.000 0.667 0.000
Au3 0.000 0.000 0.667
Au4 0.500 0.333 0.667
Au5 0.500 0.667 0.333

Properties
For the formation energy, the calculation gives 0.09 eV/atom.

(2)
Below is CaRe2Pt at its PBEsol-relaxed geometry, with properties calculated at the SCAN level.

abc: 3.816 3.816 5.273
angles: 111.21 111.21 90.00
Fractional coordinates of all 4 atoms:
Re1 0.750 0.250 0.500
Re2 0.250 0.750 0.500
Ca1 0.500 0.500 0.000
Pt1 0.000 0.000 0.000

Properties
For the formation energy, the calculation gives 0.44 eV/atom.

(3)
Below is Sr4As2O at its PBEsol-relaxed geometry, with properties calculated at the SCAN level.

abc: 4.816 4.816 8.791
angles: 105.90 105.90 90.00
Fractional coordinates of all 7 atoms:
Sr1 0.327 0.327 0.654
Sr2 0.673 0.673 0.346
Sr3 0.500 0.000 0.000
Sr4 0.000 0.500 0.000
As1 0.136 0.136 0.272
As2 0.864 0.864 0.728
O1 0.500 0.500 0.000

Properties
The value obtained for the raw formation energy is -1.82 eV per atom.

(4)
Below is CdHg at its PBEsol-relaxed geometry, with properties calculated at the SCAN level.

abc: 2.882 5.340 6.517
angles: 114.19 102.78 90.00
Fractional coordinates of all 4 atoms:
Hg1 0.386 0.136 0.772
Hg2 0.614 0.864 0.228
Cd1 0.867 0.617 0.734
Cd2 0.133 0.383 0.266

Properties
For the formation energy, the calculation gives 0.01 eV/atom.

(5)
Below is Zn3Ag5 at its PBEsol-relaxed geometry, with properties calculated at the SCAN level.

abc: 5.251 7.466 7.466
angles: 120.00 90.00 90.00
Fractional coordinates of all 16 atoms:
Ag1 0.750 0.000 0.228
Ag2 0.250 0.000 0.772
Ag3 0.750 0.772 0.772
Ag4 0.250 0.772 0.000
Ag5 0.000 0.667 0.333
Ag6 0.500 0.667 0.333
Ag7 0.000 0.333 0.667
Ag8 0.500 0.333 0.667
Ag9 0.250 0.228 0.228
Ag10 0.750 0.228 0.000
Zn1 0.250 0.000 0.404
Zn2 0.750 0.000 0.596
Zn3 0.250 0.596 0.596
Zn4 0.750 0.596 0.000
Zn5 0.750 0.404 0.404
Zn6 0.250 0.404 0.000

Properties
For the formation energy, the calculation gives 0.03 eV/atom.

(6)
Below is AuICl2 at its PBEsol-relaxed geometry, with properties calculated at the SCAN level.

abc: 5.607 7.366 7.366
angles: 81.67 67.63 67.63
Fractional coordinates of all 8 atoms:
I1 0.500 0.000 0.000
I2 0.250 0.500 0.500
Au1 0.000 0.000 0.000
Au2 0.750 0.500 0.500
Cl1 0.875 0.250 0.250
Cl2 0.375 0.750 0.750
Cl3 0.875 0.250 0.750
Cl4 0.875 0.750 0.250

Properties
The value obtained for the raw formation energy is 0.10 eV per atom.

(7)
Below is Li2NbP5O15 at its PBEsol-relaxed geometry, with properties calculated at the SCAN level.

abc: 5.280 8.201 14.548
angles: 90.00 90.00 100.34
Site moments in Bohr magnetons follow the coordinates.
Fractional coordinates of all 46 atoms:
P1 0.953 0.478 0.648  0.01
P2 0.953 0.478 0.852  0.01
P3 0.373 0.843 0.097  0.01
P4 0.373 0.843 0.403  0.01
P5 0.343 0.973 0.750  0.00
P6 0.657 0.027 0.250  0.00
P7 0.627 0.157 0.597  0.01
P8 0.627 0.157 0.903  0.01
P9 0.047 0.522 0.352  0.01
P10 0.047 0.522 0.148  0.01
Nb1 0.500 0.500 0.000  1.58
Nb2 0.500 0.500 0.500  1.58
O1 0.953 0.475 0.250  0.00
O2 0.235 0.979 0.076  0.00
O3 0.235 0.979 0.424  0.00
O4 0.065 0.895 0.750  0.00
O5 0.191 0.707 0.161  0.00
O6 0.191 0.707 0.339  0.00
O7 0.229 0.410 0.383  0.01
O8 0.229 0.410 0.117  0.01
O9 0.190 0.481 0.591  0.00
O10 0.190 0.481 0.909  0.00
O11 0.614 0.898 0.165  0.00
O12 0.614 0.898 0.335  0.00
O13 0.472 0.747 0.020  0.01
O14 0.472 0.747 0.480  0.01
O15 0.456 0.134 0.250  0.00
O16 0.544 0.866 0.750  0.00
O17 0.528 0.253 0.520  0.01
O18 0.528 0.253 0.980  0.01
O19 0.386 0.102 0.665  0.00
O20 0.386 0.102 0.835  0.00
O21 0.810 0.519 0.091  0.00
O22 0.810 0.519 0.409  0.00
O23 0.771 0.590 0.617  0.01
O24 0.771 0.590 0.883  0.01
O25 0.809 0.293 0.661  0.00
O26 0.809 0.293 0.839  0.00
O27 0.935 0.105 0.250  0.00
O28 0.765 0.021 0.576  0.00
O29 0.765 0.021 0.924  0.00
O30 0.047 0.525 0.750  0.00
Li1 0.204 0.161 0.154  0.00
Li2 0.204 0.161 0.346  0.00
Li3 0.796 0.839 0.654  0.00
Li4 0.796 0.839 0.846  0.00

Properties
The value obtained for the raw formation energy is -2.40 eV per atom.

(8)
Below is CuAs2IrSe at its PBEsol-relaxed geometry, with properties calculated at the SCAN level.

abc: 4.602 4.602 5.320
angles: 90.00 90.00 90.00
Fractional coordinates of all 5 atoms:
As1 0.000 0.500 0.000
As2 0.500 0.000 0.000
Ir1 0.000 0.000 0.000
Cu1 0.500 0.500 0.500
Se1 0.000 0.000 0.500

Properties
The value obtained for the raw formation energy is 0.80 eV per atom.

(9)
Below is SiCSN2 at its PBEsol-relaxed geometry, with properties calculated at the SCAN level.

abc: 3.402 3.402 3.907
angles: 90.00 90.00 90.00
Fractional coordinates of all 5 atoms:
C1 0.000 0.000 0.000
Si1 0.500 0.500 0.500
S1 0.000 0.000 0.500
N1 0.000 0.500 0.000
N2 0.500 0.000 0.000

Properties
The value obtained for the raw formation energy is 2.18 eV per atom.

(10)
Below is Co5Tc at its PBEsol-relaxed geometry, with properties calculated at the SCAN level.

abc: 2.519 2.519 10.305
angles: 90.00 90.00 90.00
Site moments in Bohr magnetons follow the coordinates.
Fractional coordinates of all 6 atoms:
Co1 0.000 0.000 0.821  1.63
Co2 0.000 0.000 0.179  1.63
Co3 0.500 0.500 0.661  1.87
Co4 0.500 0.500 0.339  1.87
Co5 0.000 0.000 0.500  1.82
Tc1 0.500 0.500 0.000  0.05

Properties
For the formation energy, the calculation gives 0.09 eV/atom.

(11)
Below is Y3HfRh at its PBEsol-relaxed geometry, with properties calculated at the SCAN level.

abc: 5.231 5.231 5.231
angles: 90.00 90.00 90.00
Fractional coordinates of all 5 atoms:
Y1 0.000 0.500 0.000
Y2 0.000 0.000 0.500
Y3 0.500 0.000 0.000
Rh1 0.500 0.500 0.500
Hf1 0.000 0.000 0.000

Properties
For the formation energy, the calculation gives 1.07 eV/atom.

(12)
Below is LiCoBi2Os at its PBEsol-relaxed geometry, with properties calculated at the SCAN level.

abc: 4.492 5.006 5.006
angles: 90.00 90.00 90.00
Fractional coordinates of all 5 atoms:
Co1 0.000 0.000 0.000
Os1 0.500 0.000 0.000
Bi1 0.000 0.000 0.500
Bi2 0.000 0.500 0.000
Li1 0.500 0.500 0.500

Properties
For the formation energy, the calculation gives 0.99 eV/atom.

no.,total moment (μB per atom),mass density (Mg/m³),final energy (eV per atom)
1,0.000,17.1,-60.9039
2,0.000,15.3,-55.0736
3,0.000,4.6,-21.2051
4,0.000,11.7,-49.2835
5,0.000,9.6,-24.6442
6,0.000,5.0,-30.3593
7,0.087,2.7,-10.3775
8,0.000,7.1,-28.5475
9,0.006,3.7,-7.4839
10,1.466,10.0,-20.1784
11,0.000,6.4,-34.9237
12,0.000,9.9,-48.7602